A plane-wave DFT calculation with PBE-GGA was carried out for crystalline Sm5InRu at its relaxed geometry.

As for the energy: -5.232 eV/atom. Its density of states at the Fermi level is 0.988 states/eV/atom. The theoretical density comes out at 7.76 g cm⁻³.

The structure belongs to space group C2/c (No. 15); the cell edges are 9.496, 7.644 and 11.936 Å and the angles 90.00°, 107.04° and 90.00°. The distinct sites, in fractional coordinates, are Sm at (0.000, 0.005, 0.250), Sm at (0.124, 0.331, 0.061), Sm at (0.246, 0.168, 0.625), In at (0.000, 0.405, 0.750) and Ru at (0.000, 0.000, 0.000).